Record 1
Compound: Na2BiPdS
Source: the Alexandria database
Functional: PBE
Structure: optimized geometry

```
5
Lattice="-4.704 -2.425 -2.124 2.465 -2.727 -2.345 -0.024 -3.731 4.312" Properties=species:S:1:pos:R:3 pbc="T T T"
Na -0.012 -1.865 2.156
Na -2.352 -1.212 -1.062
S 1.232 -1.364 -1.173
Bi -1.132 -4.441 -0.079
Pd 0.000 0.000 0.000
```

Summary:
Its calculated total energy is -16.27 eV for the cell shown. As for the space group: P4/mmm, No. 123. The value obtained for the magnetic moment is 0.8 Bohr magnetons per cell. The calculation puts the density of states at the Fermi level at 4.756 states/eV/cell. The raw formation energy is -85.7 meV/atom.


Record 2
Compound: Na2BiSb2Pd2
Source: the Alexandria database
Functional: PBE
Structure: optimized geometry

```
7
Lattice="-2.305 -0.639 4.679 1.455 -5.049 0.027 7.060 4.774 1.180" Properties=species:S:1:pos:R:3 pbc="T T T"
Na 2.632 0.765 1.401
Na 3.577 -1.680 4.484
Bi 0.000 0.000 0.000
Sb 5.389 1.568 2.870
Sb 0.820 -2.482 3.016
Pd 0.727 -2.525 0.013
Pd -1.153 -0.320 2.339
```

Summary:
Its calculated total energy is -25.15 eV for the cell shown. As for the space group: I4/mmm, No. 139. The value obtained for the magnetic moment is 0.0 Bohr magnetons per cell. The calculation puts the density of states at the Fermi level at 5.520 states/eV/cell. The raw formation energy is -0.5 meV/atom.


Record 3
Compound: Na2BiSb3Pd4
Source: the Alexandria database
Functional: PBE
Structure: optimized geometry

```
10
Lattice="-3.983 -0.909 -2.295 2.369 -2.631 -3.070 -1.607 -8.731 6.244" Properties=species:S:1:pos:R:3 pbc="T T T"
Na -2.363 -2.471 0.294
Na -0.051 -8.030 3.267
Bi -1.610 -6.135 0.439
Sb -0.803 -4.365 3.122
Sb -3.404 -8.126 4.339
Sb 0.990 -2.375 -0.778
Pd -0.807 -1.770 -2.683
Pd 0.000 0.000 0.000
Pd -3.016 -6.022 2.834
Pd 0.603 -4.478 0.727
```

Summary:
Its calculated total energy is -43.60 eV for the cell shown. As for the space group: P-4m2, No. 115. The value obtained for the magnetic moment is 0.0 Bohr magnetons per cell. The calculation puts the density of states at the Fermi level at 6.114 states/eV/cell. The raw formation energy is -393.8 meV/atom.


Record 4
Compound: NaScBiPd
Source: the Alexandria database
Functional: PBE
Structure: optimized geometry

```
4
Lattice="-0.398 3.155 3.830 1.847 -1.243 4.452 4.046 2.313 1.750" Properties=species:S:1:pos:R:3 pbc="T T T"
Sc 2.747 2.112 5.016
Na 0.000 0.000 0.000
Bi 4.121 3.169 7.524
Pd 1.374 1.056 2.508
```

Summary:
For the formation energy, the calculation gives -0.42 eV/atom. Its calculated total energy is -18.39 eV for the cell shown. As for the space group: F-43m, No. 216. The value obtained for the magnetic moment is 0.0 Bohr magnetons per cell. The calculation puts the density of states at the Fermi level at 1.755 states/eV/cell.


Record 5
Compound: NaSmBiPd
Source: the Alexandria database
Functional: PBE
Structure: optimized geometry

```
4
Lattice="-0.263 -4.594 -2.454 3.736 -1.374 -3.369 3.347 -3.807 1.227" Properties=species:S:1:pos:R:3 pbc="T T T"
Na 0.000 0.000 0.000
Pd 5.115 -7.332 -3.448
Bi 1.705 -2.444 -1.149
Sm 3.410 -4.888 -2.298
```

Summary:
For the formation energy, the calculation gives -0.49 eV/atom. Its calculated total energy is -17.09 eV for the cell shown. As for the space group: F-43m, No. 216. The value obtained for the magnetic moment is 0.0 Bohr magnetons per cell. The calculation puts the density of states at the Fermi level at 1.257 states/eV/cell.


Record 6
Compound: NaSnBiPd
Source: the Alexandria database
Functional: PBE
Structure: optimized geometry

```
4
Lattice="-2.161 4.510 -0.601 -4.478 0.364 -2.277 -4.095 1.207 2.674" Properties=species:S:1:pos:R:3 pbc="T T T"
Na -8.050 4.561 -0.153
Bi 0.000 0.000 0.000
Pd -2.683 1.520 -0.051
Sn -5.367 3.040 -0.102
```

Summary:
For the formation energy, the calculation gives -0.21 eV/atom. Its calculated total energy is -15.24 eV for the cell shown. As for the space group: F-43m, No. 216. The value obtained for the magnetic moment is 0.0 Bohr magnetons per cell. The calculation puts the density of states at the Fermi level at 2.537 states/eV/cell.


Record 7
Compound: Na2Sr2Bi4Pd
Source: the Alexandria database
Functional: PBE
Structure: optimized geometry

```
9
Lattice="-1.295 6.783 2.259 -5.408 -4.828 0.481 4.606 -4.053 3.893" Properties=species:S:1:pos:R:3 pbc="T T T"
Na -0.576 -6.374 3.139
Na -0.227 -2.508 1.235
Sr -3.552 -1.243 2.463
Sr 1.455 -0.855 4.169
Bi -2.801 -4.627 1.369
Bi -1.214 -3.318 4.317
Bi 1.998 -4.255 3.004
Bi -0.883 1.220 2.315
Pd 0.000 0.000 0.000
```

Summary:
For the formation energy, the calculation gives -0.51 eV/atom. Its calculated total energy is -31.34 eV for the cell shown. As for the space group: I4/mmm, No. 139. The value obtained for the magnetic moment is 0.0 Bohr magnetons per cell. The calculation puts the density of states at the Fermi level at 4.242 states/eV/cell.


Record 8
Compound: NaSrBiPd
Source: the Alexandria database
Functional: PBE
Structure: optimized geometry

```
4
Lattice="5.198 0.000 0.000 2.599 4.502 0.000 2.599 1.501 4.244" Properties=species:S:1:pos:R:3 pbc="T T T"
Sr 7.797 4.502 3.183
Bi 2.599 1.501 1.061
Pd 5.198 3.001 2.122
Na 0.000 0.000 0.000
```

Summary:
For the formation energy, the calculation gives -0.50 eV/atom. Its calculated total energy is -14.08 eV for the cell shown. As for the space group: F-43m, No. 216. The value obtained for the magnetic moment is 0.0 Bohr magnetons per cell. The calculation puts the density of states at the Fermi level at 0.322 states/eV/cell.


Copy entry 1 word for word.
Compound: Na2BiPdS
Source: the Alexandria database
Functional: PBE
Structure: optimized geometry

```
5
Lattice="-4.704 -2.425 -2.124 2.465 -2.727 -2.345 -0.024 -3.731 4.312" Properties=species:S:1:pos:R:3 pbc="T T T"
Na -0.012 -1.865 2.156
Na -2.352 -1.212 -1.062
S 1.232 -1.364 -1.173
Bi -1.132 -4.441 -0.079
Pd 0.000 0.000 0.000
```

Summary:
Its calculated total energy is -16.27 eV for the cell shown. As for the space group: P4/mmm, No. 123. The value obtained for the magnetic moment is 0.8 Bohr magnetons per cell. The calculation puts the density of states at the Fermi level at 4.756 states/eV/cell. The raw formation energy is -85.7 meV/atom.


Which of these has the highest calculated total energy? NaSrBiPd